w.
Entry from Alexandria: a geometry-optimized TlHgMo2 structure (GGA-PBE).

For the density of states at the Fermi level, the calculation gives 3.67 states/eV/f.u.

It has space group P4mm (No. 99), with a = 3.1963 Å, b = 3.1963 Å, c = 7.9886 Å, α = 90.00°, β = 90.00° and γ = 90.00°. Symmetry generates all atoms from Tl at (0.0000, 0.0000, 0.0000), Hg at (0.5000, 0.5000, 0.3135), Mo at (0.0000, 0.0000, 0.5670) and Mo at (0.5000, 0.5000, 0.7311).

x.
Entry from Alexandria: a geometry-optimized TlHgMo2 structure (GGA-PBE).

For the density of states at the Fermi level, the calculation gives 4.38 states/eV/f.u.

It has space group F-43m (No. 216), with a = 6.7141 Å, b = 6.7141 Å, c = 6.7141 Å, α = 90.00°, β = 90.00° and γ = 90.00°. Symmetry generates all atoms from Tl at (0.0000, 0.0000, 0.0000), Hg at (0.2500, 0.2500, 0.7500), Mo at (0.0000, 0.0000, 0.5000) and Mo at (0.2500, 0.2500, 0.2500).

Which is more stable than every other structure shown? w is more stable than every other one.